Computed, not measured: a relaxed structure of BRuW3 at the PBE level of DFT.

* excess energy over the best structure of this formula in the dataset: 2508 meV/atom
* symmetry: Pm-3m (221)
* calculated formation energy: 2.777 eV per atom
* magnetic moment: 0.0 μB per formula unit

Lattice parameters (Å, degrees): 4.6683 4.6683 4.6683 90.00 90.00 90.00
With the nearest neighbours (Å) after each atom.
Fractional coordinates of all 5 atoms:
B: 0.0000 0.0000 0.0000  12 W 3.30
Ru: 0.5000 0.5000 0.5000  6 W 2.33
W: 0.0000 0.5000 0.5000  2 Ru 2.33
W: 0.5000 0.0000 0.5000  2 Ru 2.33
W: 0.5000 0.5000 0.0000  2 Ru 2.33



Computed, not measured: a relaxed structure of Ba2ZnAsN at the PBE level of DFT.

* excess energy over the best structure of this formula in the dataset: 185 meV/atom
* symmetry: P4/mmm (123)
* formation energy without anion corrections: -2.727 eV/f.u.
* magnetic moment: 0.0 μB per formula unit

Lattice parameters (Å, degrees): 5.7946 5.7946 3.9064 90.00 90.00 90.00
With the nearest neighbours (Å) after each atom.
Fractional coordinates of all 5 atoms:
Ba: 0.0000 0.5000 0.0000  2 N 2.90
Ba: 0.5000 0.0000 0.0000  2 N 2.90
Zn: 0.0000 0.0000 0.5000  2 N 1.95
As: 0.5000 0.5000 0.5000  8 Ba 3.49, 2 As 3.91
N: 0.0000 0.0000 0.0000  2 Zn 1.95



Computed, not measured: a relaxed structure of Ba2SnSe4 at the PBE level of DFT.

* excess energy over the best structure of this formula in the dataset: 12 meV/atom
* symmetry: P2_1/m (11)
* formation energy without anion corrections: -9.499 eV/f.u.
* magnetic moment: 0.0 μB per formula unit

Lattice parameters (Å, degrees): 7.5282 7.3387 9.1584 90.00 108.12 90.00
With the nearest neighbours (Å) after each atom.
Fractional coordinates of all 14 atoms:
Ba: 0.2280 0.2500 0.0572  6 Se 3.32-3.47
Ba: 0.2574 0.2500 0.5640  6 Se 3.34-3.44
Ba: 0.7426 0.7500 0.4360  6 Se 3.34-3.44
Ba: 0.7720 0.7500 0.9428  6 Se 3.32-3.47
Sn: 0.2273 0.7500 0.8019  4 Se 2.54-2.55
Sn: 0.7727 0.2500 0.1981  4 Se 2.54-2.55
Se: 0.0040 0.5141 0.2603  1 Sn 2.55
Se: 0.0040 0.9859 0.2603  1 Sn 2.55
Se: 0.4101 0.7500 0.0869  1 Sn 2.54
Se: 0.4189 0.7500 0.6165  1 Sn 2.55
Se: 0.5811 0.2500 0.3835  1 Sn 2.55
Se: 0.5899 0.2500 0.9131  1 Sn 2.54
Se: 0.9960 0.0141 0.7397  1 Sn 2.55
Se: 0.9960 0.4859 0.7397  1 Sn 2.55



Computed, not measured: a relaxed structure of Pm2PrTm3S6 at the PBE level of DFT.

* symmetry: C2/m (12)
* formation energy without anion corrections: -23.880 eV/f.u.
* magnetic moment: 0.0 μB per formula unit

Lattice parameters (Å, degrees): 8.8932 8.8932 8.0246 104.86 104.86 25.32
With the nearest neighbours (Å) after each atom.
Fractional coordinates of all 12 atoms:
Pm: 0.1665 0.1665 0.3330  6 S 2.86-2.88
Pm: 0.8335 0.8335 0.6670  6 S 2.86-2.88
Pr: 0.5000 0.5000 0.0000  6 S 2.89-2.90
Tm: 0.1660 0.1660 0.8330  6 S 2.70-2.72
Tm: 0.5000 0.5000 0.5000  6 S 2.70-2.72
Tm: 0.8340 0.8340 0.1670  6 S 2.70-2.72
S: 0.0040 0.0040 0.7351  3 Tm 2.70-2.71, 1 Pm 2.86, 2 Pr 2.90
S: 0.3275 0.3275 0.9268  3 Tm 2.70-2.72, 2 Pm 2.88, 1 Pr 2.89
S: 0.3374 0.3374 0.4058  3 Tm 2.72, 3 Pm 2.87-2.88
S: 0.6626 0.6626 0.5942  3 Tm 2.72, 3 Pm 2.87-2.88
S: 0.6725 0.6725 0.0732  3 Tm 2.70-2.72, 2 Pm 2.88, 1 Pr 2.89
S: 0.9960 0.9960 0.2649  3 Tm 2.70-2.71, 1 Pm 2.86, 2 Pr 2.90



Computed, not measured: a relaxed structure of BeGeSe2Br at the PBE level of DFT.

* excess energy over the best structure of this formula in the dataset: 0 meV/atom
* symmetry: P4/mmm (123)
* formation energy without anion corrections: 0.577 eV/f.u.
* magnetic moment: 0.0 μB per formula unit

Lattice parameters (Å, degrees): 4.6430 4.6430 4.8480 90.00 90.00 90.00
With the nearest neighbours (Å) after each atom.
Fractional coordinates of all 5 atoms:
Be: 0.0000 0.0000 0.0000  4 Se 2.32, 2 Br 2.42
Ge: 0.5000 0.5000 0.5000  4 Br 3.28, 8 Se 3.36
Se: 0.0000 0.5000 0.0000  2 Be 2.32
Se: 0.5000 0.0000 0.0000  2 Be 2.32
Br: 0.0000 0.0000 0.5000  2 Be 2.42



Computed, not measured: a relaxed structure of TiAl2Si at the PBE level of DFT.

* symmetry: I-42d (122)
* formation energy without anion corrections: 0.235 eV/f.u.
* magnetic moment: 0.0 μB per formula unit

Lattice parameters (Å, degrees): 5.8016 5.8016 5.8016 101.26 101.26 127.55
With the nearest neighbours (Å) after each atom.
Fractional coordinates of all 8 atoms:
Ti: 0.0000 0.0000 0.0000  2 Si 2.56
Ti: 0.7500 0.2500 0.5000  2 Si 2.56
Al: 0.1655 0.1250 0.5405  2 Si 2.48, 2 Al 2.63
Al: 0.3750 0.8345 0.9595  2 Si 2.48, 2 Al 2.63
Al: 0.5845 0.6250 0.4595  2 Si 2.48, 2 Al 2.63
Al: 0.8750 0.4155 0.0405  2 Si 2.48, 2 Al 2.63
Si: 0.2500 0.7500 0.5000  4 Al 2.48, 2 Ti 2.56
Si: 0.5000 0.5000 0.0000  4 Al 2.48, 2 Ti 2.56



Computed, not measured: a relaxed structure of Y2MgCoH at the PBE level of DFT.

* excess energy over the best structure of this formula in the dataset: 387 meV/atom
* symmetry: P4/mmm (123)
* magnetic moment: 0.0 μB per formula unit

Lattice parameters (Å, degrees): 5.4566 5.4566 3.3991 90.00 90.00 90.00
With the nearest neighbours (Å) after each atom.
Fractional coordinates of all 5 atoms:
Y: 0.0000 0.5000 0.0000  2 Co 2.73
Y: 0.5000 0.0000 0.0000  2 Co 2.73
Mg: 0.0000 0.0000 0.5000  8 Y 3.21, 2 Mg 3.40
Co: 0.5000 0.5000 0.0000  2 H 1.70
H: 0.5000 0.5000 0.5000  2 Co 1.70



Computed, not measured: a relaxed structure of HfGaBr2 at the PBE level of DFT.

* excess energy over the best structure of this formula in the dataset: 0 meV/atom
* symmetry: R-3m (166)
* formation energy without anion corrections: -2.221 eV/f.u.
* magnetic moment: 0.0 μB per formula unit

Lattice parameters (Å, degrees): 10.5101 10.5101 10.5101 18.46 18.46 18.46
With the nearest neighbours (Å) after each atom.
Fractional coordinates of all 4 atoms:
Hf: 0.0000 0.0000 0.0000  6 Br 2.76
Ga: 0.5000 0.5000 0.5000  2 Br 3.21, 6 Ga 3.37
Br: 0.3965 0.3965 0.3965  3 Hf 2.76
Br: 0.6035 0.6035 0.6035  3 Hf 2.76